Entry from Alexandria via LeMat-Bulk: a geometry-optimized PmPuPtPb structure (PBE).

Calculated values
* energy of formation from the pure elements: -0.457 eV/atom
* size of the total moment: 5.327 μB per cell
* space group: F-43m

Unit cell a=5.2770 b=5.2770 c=5.2770 alpha=60.00 beta=60.00 gamma=60.00
Each line ends with the local moment (μB).
Fractional positions:
Pb 0.0000 0.0000 0.0000  -0.08
Pm 0.7500 0.7500 0.7500  0.03
Pt 0.5000 0.5000 0.5000  -0.13
Pu 0.2500 0.2500 0.2500  5.31